Rb2PuGa2O6 after structural relaxation, computed with PBE.

The structure in CIF format:
```
data_Rb2PuGa2O6
_cell_length_a 6.0461
_cell_length_b 6.0461
_cell_length_c 18.3044
_cell_angle_alpha 90.00
_cell_angle_beta 90.00
_cell_angle_gamma 120.00
_symmetry_space_group_name_H-M 'R -3 m'
_symmetry_Int_Tables_number 166
_symmetry_space_group_name_Hall '-R 3 2"'
loop_
_atom_site_label
_atom_site_type_symbol
_atom_site_fract_x
_atom_site_fract_y
_atom_site_fract_z
Rb1 Rb 0.0000 0.0000 0.2261
Pu1 Pu 0.0000 0.0000 0.0000
Ga1 Ga 0.0000 0.0000 0.4327
O1 O 0.0073 0.5037 0.7328
```

Values from the calculation:
* size of the total moment: 5.992 μB/cell
* mass density: 5591 kg/m3
* DOS at the Fermi energy: 20.87 states/eV/cell
* E_form (uncorrected): -1.984 eV per atom
* uncorrected energy: -6.72 eV per atom

RbPuGa2O8 after structural relaxation, computed with PBE.

The structure in CIF format:
```
data_RbPuGa2O8
_cell_length_a 7.186
_cell_length_b 7.186
_cell_length_c 6.902
_cell_angle_alpha 90.00
_cell_angle_beta 90.00
_cell_angle_gamma 90.00
_symmetry_space_group_name_H-M 'I -4 m 2'
_symmetry_Int_Tables_number 119
_symmetry_space_group_name_Hall 'I -4 -2'
loop_
_atom_site_label
_atom_site_type_symbol
_atom_site_fract_x
_atom_site_fract_y
_atom_site_fract_z
Rb1 Rb 0.000 0.000 0.000
Pu1 Pu 0.000 0.500 0.250
Ga1 Ga 0.000 0.000 0.500
Ga2 Ga 0.000 0.500 0.750
O1 O 0.000 0.214 0.333
O2 O 0.000 0.346 0.962
```

Values from the calculation:
* size of the total moment: 2.002 μB/cell
* mass density: 5563 kg/m3
* DOS at the Fermi energy: 13.28 states/eV/cell
* E_form (uncorrected): -1.309 eV per atom
* uncorrected energy: -6.39 eV per atom

Rb2Pu3GaO12 after structural relaxation, computed with PBE.

The structure in CIF format:
```
data_Rb2Pu3GaO12
_cell_length_a 7.8465
_cell_length_b 7.8465
_cell_length_c 17.6162
_cell_angle_alpha 90.00
_cell_angle_beta 90.00
_cell_angle_gamma 120.00
_symmetry_space_group_name_H-M 'R -3 m'
_symmetry_Int_Tables_number 166
_symmetry_space_group_name_Hall '-R 3 2"'
loop_
_atom_site_label
_atom_site_type_symbol
_atom_site_fract_x
_atom_site_fract_y
_atom_site_fract_z
Rb1 Rb 0.0000 0.0000 0.1297
Pu1 Pu 0.0000 0.5000 0.0000
Ga1 Ga 0.0000 0.0000 0.5000
O1 O 0.0786 0.5393 0.3608
O2 O 0.0890 0.5445 0.1043
```

Values from the calculation:
* size of the total moment: 15.000 μB/cell
* mass density: 6177 kg/m3
* DOS at the Fermi energy: 22.58 states/eV/cell
* E_form (uncorrected): -2.286 eV per atom
* uncorrected energy: -8.26 eV per atom